! Ho4BI5 PBE optimized geometry; values from VASP
! M_tot   0.0 μB per formula unit
! Final energy   -4.34 eV/atom
&SYSTEM
  ibrav = 0, nat = 10, ntyp = 3
/
ATOMIC_SPECIES
Ho 164.93 Ho.upf
B 10.81 B.upf
I 126.90 I.upf
CELL_PARAMETERS angstrom
9.505 -2.018 0.000
9.505 2.018 0.000
-1.874 0.000 8.417
ATOMIC_POSITIONS angstrom
Ho -0.561 0.000 2.577
Ho 6.144 0.000 3.640
Ho 10.992 0.000 4.776
Ho 17.697 0.000 5.839
B 8.568 0.000 4.208
I 1.561 0.000 7.069
I 2.636 0.000 2.742
I 9.505 0.000 0.000
I 14.500 0.000 5.675
I 15.575 0.000 1.348